4
Lattice="6.4597 0.0417 0.0000 2.8828 5.7809 0.0000 -4.6713 -2.9113 3.3813" Properties=species:S:1:pos:R:3 comment="PBE Sr2LiBe, optimized geometry" formation_energy_ev_per_atom=0.46 pbc="T T T"
Sr 0.0000 0.0000 0.0000
Sr 1.4414 2.8905 1.6907
Li 3.2299 0.0208 1.6907
Be 4.6713 2.9113 0.0000

=====

5
Lattice="5.1819 0.0000 0.0000 0.0000 5.1819 0.0000 0.0000 0.0000 5.5621" Properties=species:S:1:pos:R:3 comment="PBE KSrIn2Ni, optimized geometry" formation_energy_ev_per_atom=-0.11 pbc="T T T"
In 0.0000 2.5909 0.0000
In 2.5909 0.0000 0.0000
K 2.5909 2.5909 2.7810
Sr 0.0000 0.0000 2.7810
Ni 0.0000 0.0000 0.0000

=====

4
Lattice="-3.7613 4.7185 0.9812 -4.2930 -4.3430 0.2883 4.6614 3.1401 2.4052" Properties=species:S:1:pos:R:3 comment="PBE Li2SiCl, optimized geometry" raw_formation_energy_mev_per_atom=-405 pbc="T T T"
Cl -1.8293 -0.5076 1.6641
Si -1.5635 4.0232 2.0106
Li -0.2894 0.0135 0.0456
Li -3.7377 0.1743 0.5891

=====

6
Lattice="-0.4779 -3.3906 -2.8787 1.9498 -2.1114 -3.4281 2.7258 -4.3496 1.9168" Properties=species:S:1:pos:R:3 comment="PBE Be2Ru, optimized geometry" formation_energy_ev_per_atom=-0.16 pbc="T T T"
Be 2.7443 -7.0170 -4.2118
Be 1.4610 -3.9685 -2.7842
Be 1.4533 -2.8345 -0.1781
Be 2.7366 -5.8831 -1.6057
Ru 2.6539 -4.7594 0.6449
Ru 1.5437 -5.0921 -5.0349

=====

12
Lattice="-4.9649 -2.1833 -0.3797 3.5739 -0.6541 -4.0448 2.9349 -7.3312 3.7787" Properties=species:S:1:pos:R:3 comment="PBE ThCd3Pt8, optimized geometry" formation_energy_ev_per_atom=-0.50 pbc="T T T"
Pt 1.4821 -6.9197 0.6308
Pt 2.1980 -4.8367 -0.9300
Pt 0.7286 -1.1662 -2.8218
Pt -0.9603 -7.9937 0.4441
Pt -0.2760 -6.5979 2.6207
Pt 0.3956 -3.8599 -2.6805
Pt 1.0996 -2.4239 -0.4412
Pt 2.9084 -2.7550 -2.4883
Cd 2.8304 -7.0703 3.6442
Cd -1.9840 -2.0100 -1.4280
Cd -0.9243 -4.6569 -0.0637
Th 1.6886 -4.2181 2.1741

=====

4
Lattice="5.2272 0.0000 0.0000 2.6136 4.5269 0.0000 2.6136 1.5090 4.2680" Properties=species:S:1:pos:R:3 comment="PBE SmHoMgZn, optimized geometry" formation_energy_ev_per_atom=-0.17 pbc="T T T"
Zn 0.0000 0.0000 0.0000
Ho 7.8407 4.5269 3.2010
Sm 2.6136 1.5090 1.0670
Mg 5.2272 3.0179 2.1340

=====

4
Lattice="5.2737 -0.0019 -0.0022 2.6093 4.5829 0.0022 -3.6523 -2.7882 2.5882" Properties=species:S:1:pos:R:3 comment="PBE CuMoAs2, optimized geometry" formation_energy_ev_per_atom=0.21 pbc="T T T"
Cu 4.0238 2.3383 0.0000
Mo 1.4235 2.0277 1.2952
As 2.6543 -0.3237 1.2930
As 0.0706 0.0410 0.0000

=====

5
Lattice="-2.4261 -3.7874 1.6801 3.5262 -0.9634 2.9202 -2.0180 2.7805 3.3541" Properties=species:S:1:pos:R:3 comment="PBE Ta2TcIrPd, optimized geometry" formation_energy_ev_per_atom=1.24 pbc="T T T"
Tc 1.7631 -0.4817 1.4601
Pd -0.4589 -0.9852 3.9772
Ta -1.2131 -1.8937 0.8400
Ta -1.0090 1.3902 1.6770
Ir 0.0000 0.0000 0.0000

=====

12
Lattice="5.3900 -0.6740 0.0000 -3.5344 5.7833 0.0000 0.0000 0.0000 8.2592" Properties=species:S:1:pos:R:3 comment="PBE Sc4SiH, optimized geometry" total_energy_ev_per_atom=-6.049 pbc="T T T"
H 5.0368 -0.1041 6.1944
H -3.1812 5.2135 2.0648
Sc 0.6549 3.8745 6.1944
Sc 1.6401 0.5039 6.1944
Sc 0.2155 4.6055 2.0648
Sc 1.2007 1.2348 2.0648
Sc 4.4459 0.8647 4.5690
Sc -2.5903 4.2447 3.6903
Sc -2.5903 4.2447 0.4393
Sc 4.4459 0.8647 7.8199
Si 3.3050 2.7307 6.1944
Si -1.4494 2.3786 2.0648

=====

20
Lattice="5.2351 0.0000 0.0000 0.0000 8.5330 -2.9722 0.0000 -0.0592 11.4866" Properties=species:S:1:pos:R:3 comment="PBE Er6Cd3Pt, optimized geometry" formation_energy_ev_per_atom=-0.42 pbc="T T T"
Cd 3.9264 4.0862 5.7881
Cd 3.9264 1.9417 -0.3943
Cd 1.3088 3.4139 7.7787
Cd 1.3088 4.3876 2.7263
Cd 3.9264 5.0599 0.7357
Cd 1.3088 6.5321 8.9087
Er 3.9264 7.6409 -1.0258
Er 1.3088 7.2603 1.2621
Er 3.9264 6.5698 3.4885
Er 3.9264 4.4824 8.9413
Er 3.9264 2.7433 2.8500
Er 1.3088 3.9914 -0.4268
Er 1.3088 0.8330 9.5403
Er 3.9264 7.3637 7.1405
Er 1.3088 5.7305 5.6644
Er 1.3088 1.9040 5.0260
Er 3.9264 1.2135 7.2524
Er 1.3088 1.1101 1.3739
Pt 3.9264 0.4358 4.4585
Pt 1.3088 8.0380 4.0559

=====

10
Lattice="-2.0125 -0.2140 -3.2710 3.2641 -0.4843 -1.9766 -1.5176 -19.1555 2.1869" Properties=species:S:1:pos:R:3 comment="PBE Nd4YIn5, optimized geometry" formation_energy_ev_per_atom=-0.50 pbc="T T T"
In -0.7505 -17.7219 -0.6404
In -0.1330 -9.9269 -1.5304
In -0.4409 -13.8140 -1.0866
In 0.1750 -6.0398 -1.9741
In 0.4845 -2.1319 -2.4203
Y 0.0000 0.0000 0.0000
Nd -0.9127 -11.5200 1.3152
Nd -0.2966 -3.7434 0.4274
Nd -1.2210 -15.4121 1.7595
Nd -0.6049 -7.6355 0.8717

=====

11
Lattice="-2.5883 -3.7665 1.3095 1.5920 -2.4074 -3.7777 10.9434 -1.5362 8.5821" Properties=species:S:1:pos:R:3 comment="PBE La4Pm2Te3N2, optimized geometry" raw_formation_energy_mev_per_atom=-1239 pbc="T T T"
Pm 6.3398 -2.8060 4.4599
Pm 3.6074 -4.9041 1.6540
Te 3.7743 -1.6705 2.6551
Te 0.0000 0.0000 0.0000
Te 6.1728 -6.0395 3.4588
La 9.4469 -5.0326 4.1969
La 2.5903 -1.9979 -0.6266
La 7.3568 -5.7122 6.7405
La 0.5002 -2.6774 1.9170
N 1.8297 -4.1173 0.4035
N 8.1174 -3.5928 5.7104

=====

DOS(E_F) per entry: 3.18, 3.42, 1.47, 2.54, 7.39, 4.26, 2.45, 5.28, 14.15, 17.62, 5.46, 5.99 states/eV per cell
Magnetic moment per entry: 0.000, 0.000, 0.000, 0.000, 0.000, 0.000, 0.000, 0.000, 0.000, 0.000, 0.000, 0.000 μB/f.u.